Entry 1:
This record from Alexandria via LeMat-Bulk describes an optimized crystal structure of Gd2FeCu. The functional is PBE-GGA.

Cell lengths 3.4436, 3.4436, 6.9894 Å; angles 90.00, 90.00, 90.00 degrees
Last column: nearest neighbours and their distance in Å.
Fractional positions:
1 Gd 0.0000 0.0000 0.7621  4 Fe 2.95, 4 Cu 3.05
2 Gd 0.0000 0.0000 0.2379  4 Fe 2.95, 4 Cu 3.05
3 Fe 0.5000 0.5000 0.0000  8 Gd 2.95
4 Cu 0.5000 0.5000 0.5000  8 Gd 3.05

**E_form**: -0.042 eV/atom

Entry 2:
This record from Alexandria via LeMat-Bulk describes an optimized crystal structure of GdFe4Cu. The functional is PBE-GGA.

Cell lengths 4.9813, 4.9813, 4.9813 Å; angles 60.00, 60.00, 60.00 degrees
Last column: nearest neighbours and their distance in Å.
Fractional positions:
1 Gd 0.0000 0.0000 0.0000  12 Fe 2.92, 4 Cu 3.05
2 Fe 0.6244 0.6244 0.1267  6 Fe 2.48-2.50
3 Fe 0.6244 0.1267 0.6244  6 Fe 2.48-2.50
4 Fe 0.6244 0.6244 0.6244  6 Fe 2.48-2.50
5 Fe 0.1267 0.6244 0.6244  6 Fe 2.48-2.50
6 Cu 0.2500 0.2500 0.2500  12 Fe 2.92, 4 Gd 3.05

**E_form**: 0.075 eV/atom

Entry 3:
This record from Alexandria via LeMat-Bulk describes an optimized crystal structure of GdLuFeCu. The functional is PBE-GGA.

Cell lengths 4.7851, 4.7851, 4.7851 Å; angles 60.00, 60.00, 60.00 degrees
Last column: nearest neighbours and their distance in Å.
Fractional positions:
1 Gd 0.5000 0.5000 0.5000  4 Cu 2.93, 4 Fe 2.93
2 Lu 0.0000 0.0000 0.0000  4 Fe 2.93, 4 Cu 2.93
3 Fe 0.7500 0.7500 0.7500  4 Gd 2.93, 4 Lu 2.93
4 Cu 0.2500 0.2500 0.2500  4 Lu 2.93, 4 Gd 2.93

**E_form**: -0.036 eV/atom

Entry 4:
This record from Alexandria via LeMat-Bulk describes an optimized crystal structure of GdPaFeCu. The functional is PBE-GGA.

Cell lengths 4.8053, 4.8053, 4.8053 Å; angles 60.00, 60.00, 60.00 degrees
Last column: nearest neighbours and their distance in Å.
Fractional positions:
1 Gd 0.2500 0.2500 0.2500  4 Fe 2.94, 4 Cu 2.94
2 Pa 0.7500 0.7500 0.7500  4 Cu 2.94, 4 Fe 2.94
3 Fe 0.0000 0.0000 0.0000  4 Gd 2.94, 4 Pa 2.94
4 Cu 0.5000 0.5000 0.5000  4 Pa 2.94, 4 Gd 2.94

**E_form**: 0.084 eV/atom

Entry 5:
This record from Alexandria via LeMat-Bulk describes an optimized crystal structure of GdPuFeCu. The functional is PBE-GGA.

Cell lengths 4.8421, 4.8421, 4.8421 Å; angles 60.00, 60.00, 60.00 degrees
Last column: nearest neighbours and their distance in Å.
Fractional positions:
1 Gd 0.5000 0.5000 0.5000  4 Cu 2.97, 4 Fe 2.97
2 Fe 0.7500 0.7500 0.7500  4 Gd 2.97, 4 Pu 2.97
3 Cu 0.2500 0.2500 0.2500  4 Pu 2.97, 4 Gd 2.97
4 Pu 0.0000 0.0000 0.0000  4 Fe 2.97, 4 Cu 2.97

**E_form**: 0.084 eV/atom

Entry 6:
This record from Alexandria via LeMat-Bulk describes an optimized crystal structure of GdScFeCu. The functional is PBE-GGA.

Cell lengths 4.6887, 4.6887, 4.6887 Å; angles 60.00, 60.00, 60.00 degrees
Last column: nearest neighbours and their distance in Å.
Fractional positions:
1 Sc 0.5000 0.5000 0.5000  4 Fe 2.87, 4 Cu 2.87
2 Gd 0.0000 0.0000 0.0000  4 Fe 2.87, 4 Cu 2.87
3 Fe 0.7500 0.7500 0.7500  4 Gd 2.87, 4 Sc 2.87
4 Cu 0.2500 0.2500 0.2500  4 Sc 2.87, 4 Gd 2.87

**E_form**: -0.039 eV/atom